(1)
DFT (PBE-GGA) results for a relaxed Ce2PmY6Ho3 crystal.

```
data_Ce2PmY6Ho3
_chemical_formula_sum 'Ce4 Pm2 Y12 Ho6'
_cell_length_a 6.198
_cell_length_b 10.731
_cell_length_c 11.456
_cell_angle_alpha 90.00
_cell_angle_beta 90.07
_cell_angle_gamma 90.00
_symmetry_space_group_name_H-M 'C 1 2/m 1'
_symmetry_Int_Tables_number 12
loop_
_symmetry_equiv_pos_as_xyz
'x,y,z'
'-x,-y,-z'
'-x,y,-z'
'x,-y,z'
'x+1/2,y+1/2,z'
'-x+1/2,-y+1/2,-z'
'-x+1/2,y+1/2,-z'
'x+1/2,-y+1/2,z'
loop_
_atom_site_label
_atom_site_type_symbol
_atom_site_fract_x
_atom_site_fract_y
_atom_site_fract_z
Ce1 Ce 0.000 0.167 0.000
Pm1 Pm 0.000 0.500 0.000
Y1 Y 0.166 0.000 0.250
Y2 Y 0.170 0.332 0.249
Ho1 Ho 0.000 0.167 0.500
Ho2 Ho 0.000 0.500 0.500
```

## Properties
For the raw total energy, the calculation gives -137.6 eV for the cell shown. For the density, the calculation gives 6.3 Mg/m³. The value obtained for the density of states at the Fermi level is 21.0 states/eV/f.u.

---

(2)
DFT (PBE-GGA) results for a relaxed KTlGeO3 crystal.

```
data_KTlGeO3
_chemical_formula_sum 'K4 Tl4 Ge4 O12'
_cell_length_a 6.490
_cell_length_b 12.368
_cell_length_c 5.395
_cell_angle_alpha 90.00
_cell_angle_beta 100.95
_cell_angle_gamma 90.00
_symmetry_space_group_name_H-M 'C 1 2/c 1'
_symmetry_Int_Tables_number 15
loop_
_symmetry_equiv_pos_as_xyz
'x,y,z'
'-x,-y,-z'
'-x,y,-z+1/2'
'x,-y,z+1/2'
'x+1/2,y+1/2,z'
'-x+1/2,-y+1/2,-z'
'-x+1/2,y+1/2,-z+1/2'
'x+1/2,-y+1/2,z+1/2'
loop_
_atom_site_label
_atom_site_type_symbol
_atom_site_fract_x
_atom_site_fract_y
_atom_site_fract_z
K1 K 0.000 0.093 0.250
Tl1 Tl 0.000 0.271 0.750
Ge1 Ge 0.000 0.453 0.250
O1 O 0.000 0.310 0.250
O2 O 0.181 0.467 0.980
```

## Properties
The value obtained for the formation energy (no corrections) is -1.43 eV per atom. For the density, the calculation gives 5.7 Mg/m³. The value obtained for the density of states at the Fermi level is 0.0 states/eV/f.u.

---

(3)
DFT (PBE-GGA) results for a relaxed Dy3Er4Mg crystal.

```
data_Dy3Er4Mg
_chemical_formula_sum 'Dy6 Er8 Mg2'
_cell_length_a 11.150
_cell_length_b 7.050
_cell_length_c 6.138
_cell_angle_alpha 90.00
_cell_angle_beta 90.00
_cell_angle_gamma 90.00
_symmetry_space_group_name_H-M 'P m n 21'
_symmetry_Int_Tables_number 31
loop_
_symmetry_equiv_pos_as_xyz
'x,y,z'
'-x+1/2,-y,z+1/2'
'-x,y,z'
'x+1/2,-y,z+1/2'
loop_
_atom_site_label
_atom_site_type_symbol
_atom_site_fract_x
_atom_site_fract_y
_atom_site_fract_z
Dy1 Dy 0.000 0.128 0.000
Dy2 Dy 0.245 0.122 0.341
Er1 Er 0.000 0.377 0.522
Er2 Er 0.000 0.624 0.006
Er3 Er 0.246 0.625 0.349
Mg1 Mg 0.000 0.874 0.509
```

## Properties
For the raw total energy, the calculation gives -67.3 eV for the cell shown. For the density, the calculation gives 8.1 Mg/m³. The value obtained for the density of states at the Fermi level is 11.1 states/eV/f.u.

---

(4)
DFT (PBE-GGA) results for a relaxed AlCr2AgP crystal.

```
data_AlCr2AgP
_chemical_formula_sum 'Al1 Cr2 Ag1 P1'
_cell_length_a 4.737
_cell_length_b 4.737
_cell_length_c 4.652
_cell_angle_alpha 90.00
_cell_angle_beta 90.00
_cell_angle_gamma 90.00
_symmetry_space_group_name_H-M 'P 4/m m m'
_symmetry_Int_Tables_number 123
_symmetry_space_group_name_Hall '-P 4 2'
loop_
_atom_site_label
_atom_site_type_symbol
_atom_site_fract_x
_atom_site_fract_y
_atom_site_fract_z
Al1 Al 0.000 0.000 0.000
Cr1 Cr 0.000 0.500 0.000
Ag1 Ag 0.000 0.000 0.500
P1 P 0.500 0.500 0.500
```

## Properties
For the raw total energy, the calculation gives -25.3 eV for the cell shown. For the density, the calculation gives 4.3 Mg/m³. The value obtained for the density of states at the Fermi level is 4.5 states/eV/f.u.

---

(5)
DFT (PBE-GGA) results for a relaxed GaBi2Se5 crystal.

```
data_GaBi2Se5
_chemical_formula_sum 'Ga4 Bi8 Se20'
_cell_length_a 5.840
_cell_length_b 14.227
_cell_length_c 12.188
_cell_angle_alpha 90.00
_cell_angle_beta 90.00
_cell_angle_gamma 90.00
_symmetry_space_group_name_H-M 'C m c m'
_symmetry_Int_Tables_number 63
_symmetry_space_group_name_Hall '-C 2c 2'
loop_
_atom_site_label
_atom_site_type_symbol
_atom_site_fract_x
_atom_site_fract_y
_atom_site_fract_z
Ga1 Ga 0.000 0.188 0.250
Bi1 Bi 0.000 0.159 0.568
Se1 Se 0.000 0.042 0.128
Se2 Se 0.000 0.290 0.750
Se3 Se 0.000 0.308 0.094
```

## Properties
The value obtained for the formation energy (no corrections) is -0.22 eV per atom. For the density, the calculation gives 5.8 Mg/m³. The value obtained for the density of states at the Fermi level is 0.7 states/eV/f.u.

---

(6)
DFT (PBE-GGA) results for a relaxed Sr3HgN crystal.

```
data_Sr3HgN
_chemical_formula_sum 'Sr18 Hg6 N6'
_cell_length_a 7.1818
_cell_length_b 7.1818
_cell_length_c 20.7493
_cell_angle_alpha 90.00
_cell_angle_beta 90.00
_cell_angle_gamma 120.00
_symmetry_space_group_name_H-M 'R -3 m'
_symmetry_Int_Tables_number 166
_symmetry_space_group_name_Hall '-R 3 2"'
loop_
_atom_site_label
_atom_site_type_symbol
_atom_site_fract_x
_atom_site_fract_y
_atom_site_fract_z
Sr1 Sr 0.0013 0.5006 0.4221
Hg1 Hg 0.0000 0.0000 0.3854
N1 N 0.0000 0.0000 0.1674
```

## Properties
The value obtained for the formation energy (no corrections) is -0.41 eV per atom. For the density, the calculation gives 5.1 Mg/m³. The value obtained for the density of states at the Fermi level is 2.1 states/eV/f.u.

---

(7)
DFT (PBE-GGA) results for a relaxed TeRu2Pt crystal.

```
data_TeRu2Pt
_chemical_formula_sum 'Te1 Ru2 Pt1'
_cell_length_a 3.330
_cell_length_b 3.330
_cell_length_c 5.941
_cell_angle_alpha 90.00
_cell_angle_beta 90.00
_cell_angle_gamma 90.00
_symmetry_space_group_name_H-M 'P 4/m m m'
_symmetry_Int_Tables_number 123
_symmetry_space_group_name_Hall '-P 4 2'
loop_
_atom_site_label
_atom_site_type_symbol
_atom_site_fract_x
_atom_site_fract_y
_atom_site_fract_z
Te1 Te 0.000 0.000 0.000
Ru1 Ru 0.500 0.500 0.268
Pt1 Pt 0.000 0.000 0.500
```

## Properties
The value obtained for the formation energy (no corrections) is 0.34 eV per atom. For the density, the calculation gives 13.2 Mg/m³. The value obtained for the density of states at the Fermi level is 5.2 states/eV/f.u.

---

(8)
DFT (PBE-GGA) results for a relaxed Sc5Cd2InRh2 crystal.

```
data_Sc5Cd2InRh2
_chemical_formula_sum 'Sc10 Cd4 In2 Rh4'
_cell_length_a 11.179
_cell_length_b 11.179
_cell_length_c 3.477
_cell_angle_alpha 90.00
_cell_angle_beta 90.00
_cell_angle_gamma 90.00
_symmetry_space_group_name_H-M 'P 4/m b m'
_symmetry_Int_Tables_number 127
_symmetry_space_group_name_Hall '-P 4 2ab'
loop_
_atom_site_label
_atom_site_type_symbol
_atom_site_fract_x
_atom_site_fract_y
_atom_site_fract_z
Sc1 Sc 0.000 0.500 0.000
Sc2 Sc 0.078 0.206 0.000
Cd1 Cd 0.172 0.672 0.500
In1 In 0.000 0.000 0.500
Rh1 Rh 0.127 0.373 0.500
```

## Properties
For the raw total energy, the calculation gives -111.9 eV for the cell shown. For the density, the calculation gives 5.9 Mg/m³. The value obtained for the density of states at the Fermi level is 8.7 states/eV/f.u.

---

(9)
DFT (PBE-GGA) results for a relaxed LiNd2YS5 crystal.

```
data_LiNd2YS5
_chemical_formula_sum 'Li4 Nd8 Y4 S20'
_cell_length_a 3.987
_cell_length_b 16.523
_cell_length_c 11.927
_cell_angle_alpha 90.00
_cell_angle_beta 90.00
_cell_angle_gamma 90.00
_symmetry_space_group_name_H-M 'C m c 21'
_symmetry_Int_Tables_number 36
loop_
_symmetry_equiv_pos_as_xyz
'x,y,z'
'-x,-y,z+1/2'
'-x,y,z'
'x,-y,z+1/2'
'x+1/2,y+1/2,z'
'-x+1/2,-y+1/2,z+1/2'
'-x+1/2,y+1/2,z'
'x+1/2,-y+1/2,z+1/2'
loop_
_atom_site_label
_atom_site_type_symbol
_atom_site_fract_x
_atom_site_fract_y
_atom_site_fract_z
Li1 Li 0.000 0.014 0.000
Nd1 Nd 0.000 0.376 0.815
Nd2 Nd 0.000 0.392 0.203
Y1 Y 0.000 0.303 0.520
S1 S 0.000 0.001 0.802
S2 S 0.000 0.137 0.517
S3 S 0.000 0.193 0.862
S4 S 0.000 0.213 0.179
S5 S 0.000 0.453 0.588
```

## Properties
The value obtained for the formation energy (no corrections) is -1.92 eV per atom. For the density, the calculation gives 4.6 Mg/m³.